# 1
Below is NpMnNiIr after structural relaxation, with properties calculated at the PBE level.

Summary:
- calculated density (Mg/m³) = 13.41
- D(E_F) (states/eV/f.u.) = 8.8
- DFT total energy (eV per atom) = -9.138
- crystal system = cubic
- volume (Å³/atom) = 16.8

Cell lengths 6.4541, 6.4541, 6.4541 Å; angles 90.00, 90.00, 90.00 degrees
Last column: nearest neighbours and their distance in Å.
Space group F-43m (No. 216)
Unique sites:
Np1 0.0000 0.0000 0.0000 [4 per cell]  4 Ni 2.79, 4 Ir 2.79
Mn1 0.0000 0.0000 0.5000 [4 per cell]  4 Ni 2.79, 4 Ir 2.79
Ni1 0.2500 0.2500 0.7500 [4 per cell]  4 Mn 2.79, 4 Np 2.79
Ir1 0.2500 0.2500 0.2500 [4 per cell]  4 Mn 2.79, 4 Np 2.79



# 2
Below is YTc2W after structural relaxation, with properties calculated at the PBE level.

Summary:
- calculated density (Mg/m³) = 10.99
- D(E_F) (states/eV/f.u.) = 3.9
- DFT total energy (eV per atom) = -10.020
- crystal system = tetragonal
- volume (Å³/atom) = 17.7

Cell lengths 3.2097, 3.2097, 6.8748 Å; angles 90.00, 90.00, 90.00 degrees
Last column: nearest neighbours and their distance in Å.
Space group P4/mmm (No. 123)
Unique sites:
Y1 0.0000 0.0000 0.0000 [1 per cell]  8 Tc 3.00, 4 Y 3.21
Tc1 0.5000 0.5000 0.2850 [2 per cell]  4 W 2.71, 1 Tc 2.96, 4 Y 3.00
W1 0.0000 0.0000 0.5000 [1 per cell]  8 Tc 2.71



# 3
Below is AlAg2P after structural relaxation, with properties calculated at the PBE level.

Summary:
- calculated density (Mg/m³) = 6.66
- D(E_F) (states/eV/f.u.) = 0.6
- E above lowest polymorph (eV per atom) = 0.056
- DFT total energy (eV per atom) = -3.570
- crystal system = tetragonal
- volume (Å³/atom) = 17.0

Cell lengths 3.9061, 3.9061, 4.4699 Å; angles 90.00, 90.00, 90.00 degrees
Last column: nearest neighbours and their distance in Å.
Space group P4/mmm (No. 123)
Unique sites:
Al1 0.0000 0.0000 0.0000 [1 per cell]  4 P 2.76, 8 Ag 2.97
Ag1 0.0000 0.5000 0.5000 [2 per cell]  4 Ag 2.76, 4 P 2.97, 4 Al 2.97
P1 0.5000 0.5000 0.0000 [1 per cell]  4 Al 2.76, 8 Ag 2.97



# 4
Below is MgBP2Ir after structural relaxation, with properties calculated at the PBE level.

Summary:
- calculated density (Mg/m³) = 4.71
- D(E_F) (states/eV/f.u.) = 2.6
- E above lowest polymorph (eV per atom) = 0.600
- DFT total energy (eV per atom) = -4.550
- crystal system = tetragonal
- volume (Å³/atom) = 20.4

Cell lengths 4.4994, 4.4994, 5.0373 Å; angles 90.00, 90.00, 90.00 degrees
Last column: nearest neighbours and their distance in Å.
Space group P4/mmm (No. 123)
Unique sites:
Mg1 0.0000 0.0000 0.0000 [1 per cell]  2 Ir 2.52
B1 0.5000 0.5000 0.0000 [1 per cell]  4 Mg 3.18, 8 P 3.38
P1 0.0000 0.5000 0.5000 [2 per cell]  2 Ir 2.25
Ir1 0.0000 0.0000 0.5000 [1 per cell]  4 P 2.25, 2 Mg 2.52



# 5
Below is Tb2ErSi2 after structural relaxation, with properties calculated at the PBE level.

Summary:
- calculated density (Mg/m³) = 7.42
- ΔE_f (raw) (eV per atom) = -0.62
- D(E_F) (states/eV/f.u.) = 2.9
- E above lowest polymorph (eV per atom) = 0.096
- DFT total energy (eV per atom) = -5.558
- crystal system = monoclinic
- volume (Å³/atom) = 24.2

Cell lengths 12.1574, 4.2879, 10.3989 Å; angles 90.00, 116.66, 90.00 degrees
Last column: nearest neighbours and their distance in Å.
Space group C2/m (No. 12)
Unique sites:
Tb1 0.0162 0.0000 0.1883 [4 per cell]  6 Si 3.02-3.17
Tb2 0.1798 0.0000 0.5886 [4 per cell]  4 Si 3.00-3.29
Er1 0.2221 0.5000 0.8632 [4 per cell]  4 Si 2.81-2.95
Si1 0.0181 0.5000 0.3945 [4 per cell]  1 Si 2.42
Si2 0.1109 0.5000 0.0586 [4 per cell]  1 Si 2.41



# 6
Below is YTaOs2 after structural relaxation, with properties calculated at the PBE level.

Summary:
- calculated density (Mg/m³) = 14.24
- D(E_F) (states/eV/f.u.) = 3.0
- DFT total energy (eV per atom) = -9.412
- crystal system = orthorhombic
- volume (Å³/atom) = 19.0

Cell lengths 2.8518, 4.9564, 10.7328 Å; angles 90.00, 90.00, 90.00 degrees
Last column: nearest neighbours and their distance in Å.
Space group Immm (No. 71)
Unique sites:
Y1 0.0000 0.0000 0.0000 [2 per cell]  2 Y 2.85, 4 Ta 2.86, 2 Os 2.92
Ta1 0.0000 0.0000 0.5000 [2 per cell]  2 Os 2.45
Os1 0.0000 0.0000 0.2719 [4 per cell]  1 Ta 2.45